Record 1
LaInBr2 | PBEsol | relaxed

Calculated values
Distance to the lowest polymorph of the same formula   0.078 eV/atom
E_tot   -4.05 eV/atom
Formation energy from raw total energies   -1.04 eV/atom

a = 4.0644 Å, b = 4.0644 Å, c = 6.9325 Å
α = 90.00°, β = 90.00°, γ = 90.00°
Closest atoms and distances in Å follow each position.
Fractional positions:
In (0.0000, 0.0000, 0.5042)  5 Br 3.11-3.42
Br (0.0000, 0.0000, 0.9522)  4 La 3.04, 1 In 3.11
Br (0.5000, 0.5000, 0.2359)  1 La 2.97
La (0.5000, 0.5000, 0.8077)  5 Br 2.97-3.04

Record 2
MgTlP2 | PBEsol | relaxed

Calculated values
Energy of formation from the pure elements   0.262 eV per atom
E_tot   -3.72 eV/atom

a = 4.4334 Å, b = 5.0221 Å, c = 4.4334 Å
α = 63.81°, β = 90.00°, γ = 116.19°
Closest atoms and distances in Å follow each position.
Fractional positions:
Mg (0.0000, 0.0000, 0.0000)  8 P 2.96, 4 Tl 3.13
P (0.2500, 0.5000, 0.2500)  4 Tl 2.96, 4 Mg 2.96, 4 P 3.13
P (0.7500, 0.5000, 0.7500)  4 Mg 2.96, 4 Tl 2.96, 4 P 3.13
Tl (0.5000, 0.0000, 0.5000)  8 P 2.96, 4 Mg 3.13

Record 3
SrScIn2 | PBEsol | relaxed

Calculated values
Energy of formation from the pure elements   -0.325 eV per atom
E_tot   -3.93 eV/atom

a = 3.6610 Å, b = 5.3522 Å, c = 5.3522 Å
α = 90.00°, β = 90.00°, γ = 90.00°
Closest atoms and distances in Å follow each position.
Fractional positions:
In (0.0000, 0.0000, 0.5000)  4 Sc 3.24, 4 Sr 3.24
In (0.0000, 0.5000, 0.0000)  4 Sc 3.24, 4 Sr 3.24
Sc (0.5000, 0.5000, 0.5000)  8 In 3.24
Sr (0.5000, 0.0000, 0.0000)  8 In 3.24

Record 4
Mo2AsP3 | PBEsol | relaxed

Calculated values
Energy of formation from the pure elements   -0.527 eV per atom
E_tot   -8.20 eV/atom

a = 3.1454 Å, b = 5.0300 Å, c = 5.8635 Å
α = 90.86°, β = 105.56°, γ = 90.00°
Closest atoms and distances in Å follow each position.
Fractional positions:
P (0.2988, 0.1969, 0.5976)  1 P 2.20
P (0.5660, 0.3734, 0.1319)  1 As 2.26, 4 Mo 2.44-2.46
P (0.4307, 0.8810, 0.8615)  1 P 2.20
Mo (0.9089, 0.4975, 0.8179)  6 P 2.46-2.50, 1 As 2.54
Mo (0.0903, 0.0071, 0.1806)  5 P 2.44-2.53, 2 As 2.56
As (0.7053, 0.7021, 0.4106)  1 P 2.26, 1 Mo 2.54